1.
Entry from the Alexandria database: Sc3BiP2 after structural relaxation (PBE).

Lattice parameters (Å, degrees): 4.7493 11.7988 9.1731 90.00 90.00 90.00
Space group Cmcm (No. 63)
One atom of each set of equivalent atoms:
Sc  0.0000  0.0953  0.2500 (multiplicity 4)
Sc  0.0000  0.3792  0.0435 (multiplicity 8)
Bi  0.0000  0.2179  0.7500 (multiplicity 4)
P  0.0000  0.0000  0.0000 (multiplicity 4)
P  0.0000  0.4675  0.7500 (multiplicity 4)

=====

2.
Entry from the Alexandria database: CsBaRu3 after structural relaxation (PBE).

Lattice parameters (Å, degrees): 5.3957 5.3957 5.3957 90.00 90.00 90.00
Space group Pm-3m (No. 221)
One atom of each set of equivalent atoms:
Cs  0.0000  0.0000  0.0000 (multiplicity 1)
Ba  0.5000  0.5000  0.5000 (multiplicity 1)
Ru  0.0000  0.5000  0.5000 (multiplicity 3)

=====

3.
Entry from the Alexandria database: Ti4NbN after structural relaxation (PBE).

Lattice parameters (Å, degrees): 4.8863 5.7146 7.1227 80.81 70.01 89.99
Space group P-1 (No. 2)
One atom of each set of equivalent atoms:
Ti  0.0668  0.4606  0.2836 (multiplicity 2)
Ti  0.1506  0.9603  0.2837 (multiplicity 2)
Ti  0.2540  0.8059  0.8961 (multiplicity 2)
Ti  0.3493  0.3057  0.8962 (multiplicity 2)
Nb  0.4668  0.2503  0.4999 (multiplicity 2)
N  0.0000  0.5000  0.0000 (multiplicity 1)
N  0.5000  0.0000  0.0000 (multiplicity 1)

Calculated values
formation energy without anion corrections	-0.606	eV/atom

=====

Taking the records one at a time from the top gives calculated total energy values of -6.466 -3.773 -8.935 eV/atom.